Record 1
Material: AsAuSeBr2
Method: DFT, PBE
State: optimized geometry

Lattice parameters (Å, degrees): 5.136 5.136 5.383 90.00 90.00 90.00
Each line ends with the local moment (μB).
Fractional positions:
1 Au 0.000 0.000 0.000  -0.01
2 Br 0.500 0.000 0.000  0.06
3 Br 0.000 0.500 0.000  0.06
4 Se 0.500 0.500 0.500  0.75
5 As 0.000 0.000 0.500  -0.37

Energy above the lowest structure with this stoichiometry in meV per atom: 182
M_tot in μB per formula unit: 0.57

Record 2
Material: As2AuSeBr
Method: DFT, PBE
State: optimized geometry

Lattice parameters (Å, degrees): 5.158 5.064 5.158 90.00 90.00 90.00
Each line ends with the local moment (μB).
Fractional positions:
1 Se 0.000 0.500 0.000  -0.15
2 Br 0.500 0.500 0.500  0.01
3 As 0.500 0.000 0.000  0.17
4 As 0.000 0.000 0.500  0.18
5 Au 0.000 0.000 0.000  0.01

Energy above the lowest structure with this stoichiometry in meV per atom: 3
M_tot in μB per formula unit: 0.49

Record 3
Material: AsAuSe2Br
Method: DFT, PBE
State: optimized geometry

Lattice parameters (Å, degrees): 5.049 5.049 5.273 90.00 90.00 90.00
Fractional positions:
1 Au 0.500 0.500 0.500
2 As 0.000 0.000 0.500
3 Se 0.000 0.500 0.000
4 Se 0.500 0.000 0.000
5 Br 0.000 0.000 0.000

Energy above the lowest structure with this stoichiometry in meV per atom: 641
M_tot in μB per formula unit: 0.00

Record 4
Material: AsAuSeBr2
Method: DFT, PBE
State: optimized geometry

Lattice parameters (Å, degrees): 5.239 5.239 5.112 90.00 90.00 90.00
Fractional positions:
1 As 0.000 0.000 0.000
2 Au 0.500 0.500 0.500
3 Br 0.000 0.500 0.000
4 Br 0.500 0.000 0.000
5 Se 0.000 0.000 0.500

Energy above the lowest structure with this stoichiometry in meV per atom: 0
M_tot in μB per formula unit: 0.00

Record 5
Material: AsAuSe2Br
Method: DFT, PBE
State: optimized geometry

Lattice parameters (Å, degrees): 5.133 5.133 5.045 90.00 90.00 90.00
Fractional positions:
1 Br 0.000 0.000 0.500
2 Se 0.500 0.000 0.000
3 Se 0.000 0.500 0.000
4 Au 0.000 0.000 0.000
5 As 0.500 0.500 0.500

Energy above the lowest structure with this stoichiometry in meV per atom: 99
M_tot in μB per formula unit: 0.00

Record 6
Material: As2AuSeBr
Method: DFT, PBE
State: optimized geometry

Lattice parameters (Å, degrees): 5.126 5.126 5.057 90.00 90.00 90.00
Each line ends with the local moment (μB).
Fractional positions:
1 As 0.000 0.500 0.000  0.13
2 As 0.500 0.000 0.000  0.13
3 Se 0.500 0.500 0.500  -0.13
4 Br 0.000 0.000 0.500  0.01
5 Au 0.000 0.000 0.000  0.01

Energy above the lowest structure with this stoichiometry in meV per atom: 0
M_tot in μB per formula unit: 0.36

Record 7
Material: As2AuSeBr
Method: DFT, PBE
State: optimized geometry

Lattice parameters (Å, degrees): 5.120 5.120 5.134 90.00 90.00 90.00
Each line ends with the local moment (μB).
Fractional positions:
1 As 0.500 0.000 0.000  0.15
2 As 0.000 0.500 0.000  0.15
3 Se 0.000 0.000 0.500  0.20
4 Au 0.500 0.500 0.500  0.04
5 Br 0.000 0.000 0.000  0.05

Energy above the lowest structure with this stoichiometry in meV per atom: 516
M_tot in μB per formula unit: 1.00

Record 8
Material: As2AuSeBr
Method: DFT, PBE
State: optimized geometry

Lattice parameters (Å, degrees): 5.160 5.160 5.098 90.00 90.00 90.00
Each line ends with the local moment (μB).
Fractional positions:
1 Br 0.000 0.000 0.500  0.08
2 As 0.500 0.000 0.000  0.31
3 As 0.000 0.500 0.000  0.31
4 Au 0.500 0.500 0.500  0.03
5 Se 0.000 0.000 0.000  0.00

Energy above the lowest structure with this stoichiometry in meV per atom: 144
M_tot in μB per formula unit: 1.38

Record 9
Material: As2AuSeBr
Method: DFT, PBE
State: optimized geometry

Lattice parameters (Å, degrees): 5.188 5.007 5.188 90.00 90.00 90.00
Fractional positions:
1 As 0.000 0.000 0.500
2 As 0.500 0.000 0.000
3 Se 0.500 0.500 0.500
4 Au 0.000 0.500 0.000
5 Br 0.000 0.000 0.000

Energy above the lowest structure with this stoichiometry in meV per atom: 421
M_tot in μB per formula unit: 0.00

Record 10
Material: AsAuSe2Br
Method: DFT, PBE
State: optimized geometry

Lattice parameters (Å, degrees): 5.081 5.081 5.221 90.00 90.00 90.00
Fractional positions:
1 As 0.000 0.000 0.500
2 Se 0.000 0.500 0.000
3 Se 0.500 0.000 0.000
4 Br 0.500 0.500 0.500
5 Au 0.000 0.000 0.000

Energy above the lowest structure with this stoichiometry in meV per atom: 136
M_tot in μB per formula unit: 0.00

Record 11
Material: AsAuSeBr2
Method: DFT, PBE
State: optimized geometry

Lattice parameters (Å, degrees): 5.139 5.139 5.365 90.00 90.00 90.00
Each line ends with the local moment (μB).
Fractional positions:
1 Br 0.000 0.500 0.000  0.02
2 Br 0.500 0.000 0.000  0.02
3 Au 0.000 0.000 0.000  -0.03
4 Se 0.000 0.000 0.500  -0.24
5 As 0.500 0.500 0.500  0.75

Energy above the lowest structure with this stoichiometry in meV per atom: 149
M_tot in μB per formula unit: 1.24

Record 12
Material: AsAuSeBr2
Method: DFT, PBE
State: optimized geometry

Lattice parameters (Å, degrees): 5.107 5.107 5.563 90.00 90.00 90.00
Each line ends with the local moment (μB).
Fractional positions:
1 Se 0.000 0.000 0.000  -0.03
2 As 0.000 0.000 0.500  0.51
3 Br 0.500 0.000 0.000  0.02
4 Br 0.000 0.500 0.000  0.02
5 Au 0.500 0.500 0.500  -0.03

Energy above the lowest structure with this stoichiometry in meV per atom: 269
M_tot in μB per formula unit: 1.00

Record 13
Material: SiAs2AuBr
Method: DFT, PBE
State: optimized geometry

Lattice parameters (Å, degrees): 5.059 5.059 5.217 90.00 90.00 90.00
Each line ends with the local moment (μB).
Fractional positions:
1 Si 0.500 0.500 0.500  -0.01
2 As 0.000 0.500 0.000  0.21
3 As 0.500 0.000 0.000  0.21
4 Br 0.000 0.000 0.500  0.09
5 Au 0.000 0.000 0.000  0.03

Energy above the lowest structure with this stoichiometry in meV per atom: 283
M_tot in μB per formula unit: 1.00

Record 14
Material: SiAsAuBr2
Method: DFT, PBE
State: optimized geometry

Lattice parameters (Å, degrees): 5.170 5.170 5.221 90.00 90.00 90.00
Fractional positions:
1 Br 0.000 0.500 0.000
2 Br 0.500 0.000 0.000
3 Si 0.500 0.500 0.500
4 Au 0.000 0.000 0.000
5 As 0.000 0.000 0.500

Energy above the lowest structure with this stoichiometry in meV per atom: 267
M_tot in μB per formula unit: 0.00

Record 15
Material: SiAs2AuBr
Method: DFT, PBE
State: optimized geometry

Lattice parameters (Å, degrees): 4.877 4.866 4.877 90.00 90.00 90.00
Fractional positions:
1 Br 0.000 0.500 0.000
2 Si 0.000 0.000 0.000
3 As 0.500 0.000 0.000
4 As 0.000 0.000 0.500
5 Au 0.500 0.500 0.500

Energy above the lowest structure with this stoichiometry in meV per atom: 0
M_tot in μB per formula unit: 0.00